[1]
# PBE-GGA NpGe2PtRh, optimized geometry
data_NpGe2PtRh
_symmetry_space_group_name_H-M 'C 1 2/m 1'
_symmetry_Int_Tables_number 12
_cell_length_a 11.521
_cell_length_b 4.178
_cell_length_c 9.154
_cell_angle_alpha 90.00
_cell_angle_beta 119.70
_cell_angle_gamma 90.00
loop_
_symmetry_equiv_pos_as_xyz
'x,y,z'
'-x,-y,-z'
'-x,y,-z'
'x,-y,z'
'x+1/2,y+1/2,z'
'-x+1/2,-y+1/2,-z'
'-x+1/2,y+1/2,-z'
'x+1/2,-y+1/2,z'
loop_
_atom_site_label
_atom_site_fract_x
_atom_site_fract_y
_atom_site_fract_z
Np1 0.212 0.000 0.169
Ge1 0.037 0.500 0.892
Ge2 0.132 0.000 0.549
Pt1 0.055 0.000 0.761
Rh1 0.147 0.500 0.412
# DFT formation energy: -0.449 eV per atom
# Total energy: -37.814 eV per formula unit
# Total magnetization: 16.226 μB/cell
# Mass density: 11.8 g/cm³
# Fermi-level density of states: 2.44 states/eV per atom



[2]
# PBE-GGA Np2Si3GePt4, optimized geometry
data_Np2Si3GePt4
_symmetry_space_group_name_H-M 'P -4 m 2'
_symmetry_Int_Tables_number 115
_cell_length_a 4.254
_cell_length_b 4.254
_cell_length_c 9.902
_cell_angle_alpha 90.00
_cell_angle_beta 90.00
_cell_angle_gamma 90.00
loop_
_symmetry_equiv_pos_as_xyz
'x,y,z'
'y,-x,-z'
'-x,-y,z'
'-y,x,-z'
'-x,y,z'
'-y,-x,-z'
'x,-y,z'
'y,x,-z'
loop_
_atom_site_label
_atom_site_fract_x
_atom_site_fract_y
_atom_site_fract_z
Np1 0.000 0.500 0.248
Si1 0.000 0.000 0.000
Si2 0.000 0.500 0.631
Ge1 0.500 0.500 0.000
Pt1 0.000 0.000 0.500
Pt2 0.000 0.500 0.871
Pt3 0.500 0.500 0.500
# Total energy: -77.852 eV per formula unit
# Total magnetization: 7.778 μB/cell
# Mass density: 13.1 g/cm³
# Energy relative to the elements, uncorrected: -6.92 eV/f.u.
# Fermi-level density of states: 2.32 states/eV per atom



[3]
# PBE-GGA NpSi2Ge2Pt7, optimized geometry
data_NpSi2Ge2Pt7
_symmetry_space_group_name_H-M 'C 1 2/m 1'
_symmetry_Int_Tables_number 12
_cell_length_a 5.549
_cell_length_b 5.537
_cell_length_c 14.763
_cell_angle_alpha 90.00
_cell_angle_beta 95.60
_cell_angle_gamma 90.00
loop_
_symmetry_equiv_pos_as_xyz
'x,y,z'
'-x,-y,-z'
'-x,y,-z'
'x,-y,z'
'x+1/2,y+1/2,z'
'-x+1/2,-y+1/2,-z'
'-x+1/2,y+1/2,-z'
'x+1/2,-y+1/2,z'
loop_
_atom_site_label
_atom_site_fract_x
_atom_site_fract_y
_atom_site_fract_z
Np1 0.000 0.000 0.000
Si1 0.069 0.500 0.253
Ge1 0.150 0.000 0.425
Pt1 0.000 0.500 0.000
Pt2 0.098 0.500 0.412
Pt3 0.207 0.250 0.843
# Total energy: -80.971 eV per formula unit
# Total magnetization: 6.474 μB/cell
# Mass density: 13.3 g/cm³
# Energy relative to the elements, uncorrected: -5.66 eV/f.u.
# Fermi-level density of states: 0.74 states/eV per atom



[4]
# PBE-GGA Sm2NpGe4Pt3, optimized geometry
data_Sm2NpGe4Pt3
_symmetry_space_group_name_H-M 'P -4 m 2'
_symmetry_Int_Tables_number 115
_cell_length_a 4.260
_cell_length_b 4.260
_cell_length_c 11.582
_cell_angle_alpha 90.00
_cell_angle_beta 90.00
_cell_angle_gamma 90.00
loop_
_symmetry_equiv_pos_as_xyz
'x,y,z'
'y,-x,-z'
'-x,-y,z'
'-y,x,-z'
'-x,y,z'
'-y,-x,-z'
'x,-y,z'
'y,x,-z'
loop_
_atom_site_label
_atom_site_fract_x
_atom_site_fract_y
_atom_site_fract_z
Sm1 0.000 0.500 0.230
Np1 0.000 0.000 0.500
Ge1 0.000 0.000 0.000
Ge2 0.000 0.500 0.668
Ge3 0.500 0.500 0.000
Pt1 0.000 0.500 0.881
Pt2 0.500 0.500 0.500
# DFT formation energy: -0.690 eV per atom
# Total energy: -65.866 eV per formula unit
# Total magnetization: 3.937 μB/cell
# Mass density: 11.2 g/cm³
# Fermi-level density of states: 0.94 states/eV per atom



[5]
# PBE-GGA NpSn2Ge2Pt7, optimized geometry
data_NpSn2Ge2Pt7
_symmetry_space_group_name_H-M 'I 4/m m m'
_symmetry_Int_Tables_number 139
_symmetry_space_group_name_Hall '-I 4 2'
_cell_length_a 3.942
_cell_length_b 3.942
_cell_length_c 31.646
_cell_angle_alpha 90.00
_cell_angle_beta 90.00
_cell_angle_gamma 90.00
loop_
_atom_site_label
_atom_site_fract_x
_atom_site_fract_y
_atom_site_fract_z
Np1 0.000 0.000 0.000
Sn1 0.000 0.000 0.214
Ge1 0.000 0.000 0.379
Pt1 0.000 0.000 0.301
Pt2 0.000 0.000 0.500
Pt3 0.000 0.500 0.071
# DFT formation energy: -0.480 eV per atom
# Total energy: -78.230 eV per formula unit
# Total magnetization: 6.257 μB/cell
# Mass density: 13.4 g/cm³
# Fermi-level density of states: 0.95 states/eV per atom



[6]
# PBE-GGA Tb2NpGe3Pt4, optimized geometry
data_Tb2NpGe3Pt4
_symmetry_space_group_name_H-M 'P -4 m 2'
_symmetry_Int_Tables_number 115
_cell_length_a 4.249
_cell_length_b 4.249
_cell_length_c 11.256
_cell_angle_alpha 90.00
_cell_angle_beta 90.00
_cell_angle_gamma 90.00
loop_
_symmetry_equiv_pos_as_xyz
'x,y,z'
'y,-x,-z'
'-x,-y,z'
'-y,x,-z'
'-x,y,z'
'-y,-x,-z'
'x,-y,z'
'y,x,-z'
loop_
_atom_site_label
_atom_site_fract_x
_atom_site_fract_y
_atom_site_fract_z
Tb1 0.000 0.500 0.221
Np1 0.000 0.000 0.500
Ge1 0.000 0.500 0.875
Ge2 0.500 0.500 0.500
Pt1 0.000 0.000 0.000
Pt2 0.000 0.500 0.659
Pt3 0.500 0.500 0.000
# DFT formation energy: -0.781 eV per atom
# Total energy: -68.026 eV per formula unit
# Total magnetization: 4.133 μB/cell
# Mass density: 12.7 g/cm³
# Fermi-level density of states: 1.13 states/eV per atom



[7]
# PBE-GGA Np2TiGe3Pt4, optimized geometry
data_Np2TiGe3Pt4
_symmetry_space_group_name_H-M 'P -4 m 2'
_symmetry_Int_Tables_number 115
_cell_length_a 4.105
_cell_length_b 4.105
_cell_length_c 11.176
_cell_angle_alpha 90.00
_cell_angle_beta 90.00
_cell_angle_gamma 90.00
loop_
_symmetry_equiv_pos_as_xyz
'x,y,z'
'y,-x,-z'
'-x,-y,z'
'-y,x,-z'
'-x,y,z'
'-y,-x,-z'
'x,-y,z'
'y,x,-z'
loop_
_atom_site_label
_atom_site_fract_x
_atom_site_fract_y
_atom_site_fract_z
Np1 0.000 0.500 0.242
Ti1 0.000 0.000 0.500
Ge1 0.000 0.500 0.863
Ge2 0.500 0.500 0.500
Pt1 0.000 0.000 0.000
Pt2 0.000 0.500 0.641
Pt3 0.500 0.500 0.000
# DFT formation energy: -0.586 eV per atom
# Total energy: -77.648 eV per formula unit
# Total magnetization: 8.384 μB/cell
# Mass density: 13.4 g/cm³
# Fermi-level density of states: 1.99 states/eV per atom



[8]
# PBE-GGA Np2TiGe4Pt3, optimized geometry
data_Np2TiGe4Pt3
_symmetry_space_group_name_H-M 'P -4 m 2'
_symmetry_Int_Tables_number 115
_cell_length_a 4.196
_cell_length_b 4.196
_cell_length_c 10.812
_cell_angle_alpha 90.00
_cell_angle_beta 90.00
_cell_angle_gamma 90.00
loop_
_symmetry_equiv_pos_as_xyz
'x,y,z'
'y,-x,-z'
'-x,-y,z'
'-y,x,-z'
'-x,y,z'
'-y,-x,-z'
'x,-y,z'
'y,x,-z'
loop_
_atom_site_label
_atom_site_fract_x
_atom_site_fract_y
_atom_site_fract_z
Np1 0.000 0.500 0.250
Ti1 0.000 0.000 0.500
Ge1 0.000 0.000 0.000
Ge2 0.000 0.500 0.641
Ge3 0.500 0.500 0.000
Pt1 0.000 0.500 0.870
Pt2 0.500 0.500 0.500
# DFT formation energy: -0.538 eV per atom
# Total energy: -75.751 eV per formula unit
# Total magnetization: 8.039 μB/cell
# Mass density: 12.2 g/cm³
# Fermi-level density of states: 2.16 states/eV per atom



[9]
# PBE-GGA Np2VGe4Pt3, optimized geometry
data_Np2VGe4Pt3
_symmetry_space_group_name_H-M 'P -4 m 2'
_symmetry_Int_Tables_number 115
_cell_length_a 4.221
_cell_length_b 4.221
_cell_length_c 10.520
_cell_angle_alpha 90.00
_cell_angle_beta 90.00
_cell_angle_gamma 90.00
loop_
_symmetry_equiv_pos_as_xyz
'x,y,z'
'y,-x,-z'
'-x,-y,z'
'-y,x,-z'
'-x,y,z'
'-y,-x,-z'
'x,-y,z'
'y,x,-z'
loop_
_atom_site_label
_atom_site_fract_x
_atom_site_fract_y
_atom_site_fract_z
Np1 0.000 0.500 0.245
V1 0.500 0.500 0.000
Ge1 0.000 0.000 0.500
Ge2 0.000 0.500 0.865
Ge3 0.500 0.500 0.500
Pt1 0.000 0.000 0.000
Pt2 0.000 0.500 0.630
# DFT formation energy: -0.463 eV per atom
# Total energy: -76.225 eV per formula unit
# Total magnetization: 9.063 μB/cell
# Mass density: 12.4 g/cm³
# Fermi-level density of states: 2.17 states/eV per atom



[10]
# PBE-GGA NpZnGePt3, optimized geometry
data_NpZnGePt3
_symmetry_space_group_name_H-M 'C m c m'
_symmetry_Int_Tables_number 63
_symmetry_space_group_name_Hall '-C 2c 2'
_cell_length_a 6.858
_cell_length_b 11.977
_cell_length_c 5.602
_cell_angle_alpha 90.00
_cell_angle_beta 90.00
_cell_angle_gamma 90.00
loop_
_atom_site_label
_atom_site_fract_x
_atom_site_fract_y
_atom_site_fract_z
Np1 0.000 0.206 0.250
Zn1 0.000 0.451 0.250
Ge1 0.000 0.129 0.750
Pt1 0.000 0.330 0.750
Pt2 0.208 0.000 0.000
# DFT formation energy: -0.323 eV per atom
# Total energy: -38.892 eV per formula unit
# Total magnetization: 16.146 μB/cell
# Mass density: 13.9 g/cm³
# Fermi-level density of states: 2.11 states/eV per atom